Material: CaAg2HgCl6
Method: DFT, PBE-GGA
State: relaxed

Summary:
The uncorrected formation energy is -1.04 eV/atom. The value obtained for the uncorrected energy is -29.48 eV/cell. The space group is P1 (1).

Unit cell a=6.947 b=6.944 c=7.398 alpha=61.97 beta=61.92 gamma=59.95
Atoms (fractional coordinates):
1 Cl 0.419 0.716 0.760
2 Cl 0.221 0.923 0.256
3 Cl 0.600 0.221 0.255
4 Cl 0.716 0.104 0.761
5 Cl 0.923 0.600 0.256
6 Cl 0.104 0.420 0.760
7 Ag 0.520 0.520 0.439
8 Ag 0.023 0.024 0.931
9 Hg 0.316 0.316 0.053
10 Ca 0.819 0.819 0.543



Material: LaTePt2O
Method: DFT, PBE-GGA
State: relaxed

Summary:
The uncorrected formation energy is -0.10 eV/atom. The value obtained for the uncorrected energy is -25.62 eV/cell. The space group is P4/mmm (123).

Unit cell a=5.466 b=4.121 c=5.466 alpha=90.00 beta=90.00 gamma=90.00
Atoms (fractional coordinates):
1 Pt 0.000 0.000 0.500
2 Pt 0.500 0.000 0.000
3 Te 0.500 0.500 0.500
4 La 0.000 0.000 0.000
5 O 0.000 0.500 0.000



Material: TaGa2Sn2
Method: DFT, PBE-GGA
State: relaxed

Summary:
The value obtained for the uncorrected energy is -24.18 eV/cell. The space group is I4/mmm (139). For the formation energy from the elements, the calculation gives 345.7 meV per atom.

Unit cell a=3.657 b=3.657 c=8.654 alpha=77.80 beta=77.80 gamma=90.00
Atoms (fractional coordinates):
1 Ga 0.250 0.750 0.500
2 Ga 0.750 0.250 0.500
3 Sn 0.408 0.408 0.184
4 Sn 0.592 0.592 0.816
5 Ta 0.000 0.000 0.000



> Among the records above, which one has the lowest uncorrected energy?

CaAg2HgCl6



> What is the uncorrected energy in the third record?

-24.18 eV/cell